The following is a DFT calculation (GGA-PBE) of an optimized crystal structure of TlZn2In2.

a b c (Å): 8.2995 8.2995 3.4238
angles (deg): 90.00 90.00 90.00
Last column: nearest neighbours and their distance in Å.
Element x y z (fractional)
Tl: 0.0000 0.0000 0.0000  4 Zn 3.34, 2 Tl 3.42, 8 In 3.49
Tl: 0.5000 0.5000 0.0000  4 Zn 3.34, 2 Tl 3.42, 8 In 3.49
Zn: 0.1144 0.3856 0.0000  1 Zn 2.69, 2 In 2.95
Zn: 0.3856 0.8856 0.0000  1 Zn 2.69, 2 In 2.95
Zn: 0.6144 0.1144 0.0000  1 Zn 2.69, 2 In 2.95
Zn: 0.8856 0.6144 0.0000  1 Zn 2.69, 2 In 2.95
In: 0.1811 0.6811 0.5000  6 Zn 2.95-3.04
In: 0.3189 0.1811 0.5000  6 Zn 2.95-3.04
In: 0.6811 0.8189 0.5000  6 Zn 2.95-3.04
In: 0.8189 0.3189 0.5000  6 Zn 2.95-3.04

As for the symmetry: P4/mbm, No. 127. As for the energy above the most stable polymorph in this dataset: 0.014 eV/atom. As for the magnetization: 0.00 μB/cell. The value obtained for the energy is -1.9826 eV/atom. Its formation energy is 0.10 eV per atom. The density of states at the Fermi level comes out at 4.32 states/eV per cell.